Entry from Alexandria via LeMat-Bulk: ScZnAu2 after structural relaxation (PBE-GGA).

Lattice parameters (Å, degrees): 6.1210 6.1210 6.1210 55.60 151.67 133.21
Closest atoms and distances in Å follow each position.
Fractional coordinates of all 4 atoms:
Sc: 0.0000 0.0000 0.0000  2 Au 2.81, 4 Zn 2.85, 2 Sc 3.00
Zn: 0.0000 0.5000 0.5000  2 Au 2.60, 4 Sc 2.85
Au: 0.0000 0.2597 0.2597  1 Zn 2.60, 1 Sc 2.81, 4 Au 2.86
Au: 0.0000 0.7403 0.7403  1 Zn 2.60, 1 Sc 2.81, 4 Au 2.86

Total magnetization, μB per formula unit: 0.0
SG: Immm, No. 71
DFT formation energy, kJ/mol of formula units: -24
Density, g cm⁻³: 10.62
Crystal system: orthorhombic

***

Entry from Alexandria via LeMat-Bulk: K2BaSbO after structural relaxation (PBE-GGA).

Lattice parameters (Å, degrees): 5.5004 5.5004 5.2190 90.00 90.00 90.00
Closest atoms and distances in Å follow each position.
Fractional coordinates of all 5 atoms:
Sb: 0.5000 0.5000 0.5000  8 K 3.79, 4 Ba 3.89
K: 0.0000 0.5000 0.0000  2 O 2.75
K: 0.5000 0.0000 0.0000  2 O 2.75
Ba: 0.0000 0.0000 0.5000  2 O 2.61
O: 0.0000 0.0000 0.0000  2 Ba 2.61, 4 K 2.75

Total magnetization, μB per formula unit: 0.8
SG: P4/mmm, No. 123
Density, g cm⁻³: 3.72
Formation energy from raw total energies, eV/atom: -1.0574
Crystal system: tetragonal